# 1
Entry from the Alexandria database: Na3LiH8Pd2 after structural relaxation (PBE).

The total energy comes out at -3.0828 eV/atom.

The structure belongs to space group P-3m1 (No. 164); the cell edges are 4.9887, 4.9887 and 6.7802 Å and the angles 90.00°, 90.00° and 120.00°. The distinct sites, in fractional coordinates, are Na at (0.0000, 0.0000, 0.0000), Na at (0.3333, 0.6667, 0.6303), Li at (0.0000, 0.0000, 0.5000), H at (0.1681, 0.3362, 0.3197), H at (0.3333, 0.6667, 0.9344) and Pd at (0.3333, 0.6667, 0.1800).



# 2
Entry from the Alexandria database: Na2Li2H4Pt after structural relaxation (PBE).

The total energy comes out at -3.0416 eV/atom.

The structure belongs to space group I4/mmm (No. 139); the cell edges are 5.160, 5.160 and 7.807 Å and the angles 90.00°, 90.00° and 90.00°. The distinct sites, in fractional coordinates, are Na at (0.000, 0.500, 0.250), Li at (0.000, 0.000, 0.152), H at (0.236, 0.236, 0.500) and Pt at (0.000, 0.000, 0.500).



# 3
Entry from the Alexandria database: Na3LiH8Pt2 after structural relaxation (PBE).

The total energy comes out at -3.2742 eV/atom.

The structure belongs to space group P-3m1 (No. 164); the cell edges are 5.0422, 5.0422 and 6.7492 Å and the angles 90.00°, 90.00° and 120.00°. The distinct sites, in fractional coordinates, are Na at (0.0000, 0.0000, 0.0000), Na at (0.3333, 0.6667, 0.6335), Li at (0.0000, 0.0000, 0.5000), H at (0.1704, 0.3408, 0.3101), H at (0.3333, 0.6667, 0.9329) and Pt at (0.3333, 0.6667, 0.1750).



# 4
Entry from the Alexandria database: Na3LiH6Pt2 after structural relaxation (PBE).

The total energy comes out at -3.3698 eV/atom.

The structure belongs to space group P-3m1 (No. 164); the cell edges are 4.9772, 4.9772 and 6.0238 Å and the angles 90.00°, 90.00° and 120.00°. The distinct sites, in fractional coordinates, are Na at (0.0000, 0.0000, 0.0000), Na at (0.3333, 0.6667, 0.6635), Li at (0.0000, 0.0000, 0.5000), H at (0.1735, 0.3470, 0.2958) and Pt at (0.3333, 0.6667, 0.1415).



# 5
Entry from the Alexandria database: RbNaLiH3 after structural relaxation (PBE).

The total energy comes out at -2.5954 eV/atom.

The structure belongs to space group P2_1/m (No. 11); the cell edges are 7.513, 3.646 and 7.986 Å and the angles 90.00°, 109.06° and 90.00°. The distinct sites, in fractional coordinates, are Rb at (0.217, 0.250, 0.240), Na at (0.340, 0.750, 0.867), Li at (0.103, 0.250, 0.614), H at (0.111, 0.250, 0.846), H at (0.149, 0.750, 0.545) and H at (0.480, 0.750, 0.174).



# 6
Entry from the Alexandria database: Rb2NaLiH after structural relaxation (PBE).

The total energy comes out at -1.6310 eV/atom.

The structure belongs to space group P4/mmm (No. 123); the cell edges are 7.075, 7.075 and 4.112 Å and the angles 90.00°, 90.00° and 90.00°. The distinct sites, in fractional coordinates, are Rb at (0.000, 0.500, 0.000), Na at (0.000, 0.000, 0.500), Li at (0.500, 0.500, 0.500) and H at (0.500, 0.500, 0.000).



# 7
Entry from the Alexandria database: RbNa2LiH4 after structural relaxation (PBE).

The total energy comes out at -2.5943 eV/atom.

The structure belongs to space group Cmcm (No. 63); the cell edges are 3.516, 12.068 and 11.695 Å and the angles 90.00°, 90.00° and 90.00°. The distinct sites, in fractional coordinates, are Rb at (0.000, 0.099, 0.250), Na at (0.000, 0.365, 0.044), Li at (0.000, 0.171, 0.750), H at (0.000, 0.000, 0.000), H at (0.000, 0.256, 0.619) and H at (0.000, 0.402, 0.250).



# 8
Entry from the Alexandria database: NaLiReH2 after structural relaxation (PBE).

The total energy comes out at -2.8324 eV/atom.

The structure belongs to space group P4/mmm (No. 123); the cell edges are 4.036, 4.036 and 5.797 Å and the angles 90.00°, 90.00° and 90.00°. The distinct sites, in fractional coordinates, are Na at (0.000, 0.000, 0.000), Li at (0.500, 0.500, 0.500), Re at (0.000, 0.000, 0.500) and H at (0.000, 0.500, 0.000).